Record 1
Density functional theory data (GGA-PBE) for an optimized crystal structure of SrP2Pt.

DFT formation energy: -794 meV per atom
uncorrected energy: -0.3990 Ry/atom

Unit cell a=6.284 b=6.539 c=9.105 alpha=90.00 beta=105.44 gamma=90.00
Positions (direct):
Sr1 0.000 0.031 0.000
Sr2 0.000 0.969 0.500
Sr3 0.500 0.469 0.500
Sr4 0.500 0.531 0.000
P1 0.070 0.486 0.094
P2 0.070 0.514 0.594
P3 0.132 0.267 0.756
P4 0.132 0.733 0.256
P5 0.570 0.014 0.594
P6 0.570 0.986 0.094
P7 0.632 0.233 0.256
P8 0.632 0.767 0.756
Pt1 0.440 0.058 0.829
Pt2 0.440 0.942 0.329
Pt3 0.940 0.442 0.329
Pt4 0.940 0.558 0.829

Record 2
Density functional theory data (GGA-PBE) for an optimized crystal structure of SrPPt.

DFT formation energy: -370 meV per atom
uncorrected energy: -0.3489 Ry/atom

Unit cell a=4.213 b=4.226 c=8.537 alpha=90.00 beta=90.00 gamma=90.00
Positions (direct):
Sr1 0.000 0.000 0.000
Sr2 0.500 0.500 0.500
P1 0.000 0.000 0.650
P2 0.500 0.500 0.150
Pt1 0.000 0.000 0.390
Pt2 0.500 0.500 0.890

Record 3
Density functional theory data (GGA-PBE) for an optimized crystal structure of SrP4Pt.

DFT formation energy: -283 meV per atom
uncorrected energy: -0.3805 Ry/atom

Unit cell a=9.567 b=9.567 c=6.251 alpha=90.00 beta=90.00 gamma=156.73
Positions (direct):
Sr1 0.101 0.899 0.750
Sr2 0.899 0.101 0.250
P1 0.059 0.941 0.250
P2 0.303 0.697 0.508
P3 0.303 0.697 0.992
P4 0.500 0.500 0.000
P5 0.500 0.500 0.500
P6 0.697 0.303 0.008
P7 0.697 0.303 0.492
P8 0.941 0.059 0.750
Pt1 0.195 0.805 0.250
Pt2 0.805 0.195 0.750